{
  "formula": "Th2Ge6Rh9",
  "functional": "GGA-PBE",
  "state": "optimized geometry",
  "cell": [[-5.0487, 0.9611, 2.3398], [3.3921, -3.9759, 2.1385], [4.6589, 7.6841, 6.8964]],
  "species": ["Th", "Th", "Ge", "Ge", "Ge", "Ge", "Ge", "Ge", "Rh", "Rh", "Rh", "Rh", "Rh", "Rh", "Rh", "Rh", "Rh"],
  "fractional_positions": [[0.0000, 0.0000, 0.7030], [0.0000, 0.0000, 0.2970], [0.3333, 0.6667, 0.0000], [0.6667, 0.3333, 0.0000], [0.3333, 0.6667, 0.6640], [0.6667, 0.3333, 0.6640], [0.6667, 0.3333, 0.3360], [0.3333, 0.6667, 0.3360], [0.5000, 0.0000, 0.8313], [0.0000, 0.5000, 0.8313], [0.5000, 0.5000, 0.8313], [0.5000, 0.0000, 0.1687], [0.0000, 0.5000, 0.1687], [0.5000, 0.5000, 0.1687], [0.5000, 0.0000, 0.5000], [0.0000, 0.5000, 0.5000], [0.5000, 0.5000, 0.5000]],
  "total_magnetization_mub_per_cell": 0.000,
  "volume_a3_per_cell": 312.81,
  "formation_enthalpy_0k_ev_per_fu": -11.3,
  "total_energy_ev_per_fu": -120.0,
  "dos_ef_per_ev_cell": 9.53
}